The following is a DFT calculation (PBE-GGA) of a relaxed structure of K3Rb3MgCl8.

Cell lengths 8.9824, 8.9824, 22.6153 Å; angles 90.00, 90.00, 120.00 degrees
Space group R-3m (No. 166, hexagonal axes)
Symmetry-distinct sites (fractional):
K 0.0000 0.5000 0.0000 (multiplicity 9)
Rb 0.0000 0.5000 0.5000 (multiplicity 9)
Mg 0.0000 0.0000 0.0000 (multiplicity 3)
Cl 0.0000 0.0000 0.2546 (multiplicity 6)
Cl 0.0597 0.5298 0.7320 (multiplicity 18)

Output
Fermi-level density of states ... 0.000 states/eV per atom
E_form (uncorrected) ... -1.930 eV/atom